Computed, not measured: a relaxed structure of SrOsSe2 at the PBEsol level of DFT.

Values from the calculation:
The offset from the most stable computed form comes out at 186 meV per atom. The total magnetic moment comes out at 0.00 μB/f.u. For the uncorrected formation energy, the calculation gives -1.04 eV per formula unit. As for the electronic total energy: -0.4189 Ry per atom. The value obtained for the calculated density is 8.560 g/cm³.

Cell: 3.5120 3.7542 12.8233 Å, 90.00 90.00 90.00°
Fractional positions:
Sr1 0.0000 0.0000 0.0000
Sr2 0.5000 0.5000 0.5000
Os1 0.0000 0.5000 0.7500
Os2 0.5000 0.0000 0.2500
Se1 0.0000 0.0000 0.3814
Se2 0.0000 0.5000 0.1806
Se3 0.5000 0.0000 0.6806
Se4 0.5000 0.5000 0.8814

Computed, not measured: a relaxed structure of Rb3GeOs at the PBEsol level of DFT.

Values from the calculation:
The total magnetic moment comes out at 5.00 μB/f.u. As for the electronic total energy: -0.1834 Ry per atom. The value obtained for the calculated density is 3.556 g/cm³.

Cell: 6.2360 6.2360 6.2360 Å, 90.00 90.00 90.00°
Fractional positions:
Rb1 0.0000 0.0000 0.5000
Rb2 0.0000 0.5000 0.0000
Rb3 0.5000 0.0000 0.0000
Ge1 0.5000 0.5000 0.5000
Os1 0.0000 0.0000 0.0000

Which value of total magnetic moment does entry 2 give?
5.00 μB/f.u.